1.
{"formula": "Sm7Co2Sn2", "functional": "PBE", "state": "relaxed", "cell": [[4.0245, -5.5919, 0.0000], [4.0245, 5.5919, 0.0000], [0.0000, 0.0000, 7.0888]], "species": ["Sm", "Sm", "Sm", "Sm", "Sm", "Sm", "Sm", "Co", "Co", "Sn", "Sn"], "fractional_positions": [[0.0000, 0.0000, 0.0000], [0.0000, 0.5000, 0.2433], [0.0000, 0.5000, 0.7567], [0.5000, 0.0000, 0.2433], [0.5000, 0.0000, 0.7567], [0.5000, 0.5000, 0.2294], [0.5000, 0.5000, 0.7706], [0.2882, 0.7118, 0.0000], [0.7118, 0.2882, 0.0000], [0.1792, 0.1792, 0.5000], [0.8208, 0.8208, 0.5000]], "formation_enthalpy_0k_mev_per_atom": -244}

***

2.
{"formula": "SmCoSn", "functional": "PBE", "state": "relaxed", "cell": [[4.5194, 0.0000, 0.0000], [-2.2597, 3.9139, 0.0000], [0.0000, 0.0000, 3.7357]], "species": ["Sm", "Co", "Sn"], "fractional_positions": [[0.0000, 0.0000, 0.0000], [0.3333, 0.6667, 0.5000], [0.6667, 0.3333, 0.5000]], "formation_enthalpy_0k_mev_per_atom": -357}

***

3.
{"formula": "SmCo2Sn7", "functional": "PBE", "state": "relaxed", "cell": [[4.2949, -6.6939, 0.0000], [4.2949, 6.6939, 0.0000], [0.0000, 0.0000, 4.5385]], "species": ["Sm", "Co", "Co", "Sn", "Sn", "Sn", "Sn", "Sn", "Sn", "Sn"], "fractional_positions": [[0.0000, 0.0000, 0.0000], [0.3191, 0.6809, 0.5000], [0.6809, 0.3191, 0.5000], [0.0609, 0.3405, 0.5000], [0.2489, 0.7511, 0.0000], [0.3405, 0.0609, 0.5000], [0.5000, 0.5000, 0.5000], [0.6595, 0.9391, 0.5000], [0.7511, 0.2489, 0.0000], [0.9391, 0.6595, 0.5000]], "formation_enthalpy_0k_mev_per_atom": -31}

***

4.
{"formula": "SmCo2Sn8", "functional": "PBE", "state": "relaxed", "cell": [[4.1877, -6.4126, 0.0000], [4.1877, 6.4126, 0.0000], [-0.5006, 0.0000, 4.8505]], "species": ["Sm", "Co", "Co", "Sn", "Sn", "Sn", "Sn", "Sn", "Sn", "Sn", "Sn"], "fractional_positions": [[0.0000, 0.0000, 0.0000], [0.3243, 0.6757, 0.5000], [0.6757, 0.3243, 0.5000], [0.0595, 0.3421, 0.6040], [0.2634, 0.7366, 0.0000], [0.3421, 0.0595, 0.6040], [0.3909, 0.3909, 0.2208], [0.6091, 0.6091, 0.7792], [0.6579, 0.9405, 0.3960], [0.7366, 0.2634, 0.0000], [0.9405, 0.6579, 0.3960]], "formation_enthalpy_0k_mev_per_atom": -113}

***

5.
{"formula": "SmCo2Sn4", "functional": "PBE", "state": "relaxed", "cell": [[18.2881, 0.0000, 0.0000], [0.0000, 4.3673, 0.0000], [0.0000, 0.0000, 7.0899]], "species": ["Sm", "Sm", "Sm", "Sm", "Co", "Co", "Co", "Co", "Co", "Co", "Co", "Co", "Sn", "Sn", "Sn", "Sn", "Sn", "Sn", "Sn", "Sn", "Sn", "Sn", "Sn", "Sn", "Sn", "Sn", "Sn", "Sn"], "fractional_positions": [[0.1416, 0.2500, 0.0061], [0.3584, 0.7500, 0.5061], [0.6416, 0.2500, 0.4939], [0.8584, 0.7500, 0.9939], [0.0355, 0.7500, 0.7492], [0.2135, 0.2500, 0.4864], [0.2865, 0.7500, 0.9864], [0.4645, 0.2500, 0.2492], [0.5355, 0.7500, 0.7508], [0.7135, 0.2500, 0.0136], [0.7865, 0.7500, 0.5136], [0.9645, 0.2500, 0.2508], [0.0287, 0.7500, 0.1358], [0.0688, 0.2500, 0.5110], [0.1803, 0.7500, 0.7010], [0.1988, 0.7500, 0.2830], [0.3012, 0.2500, 0.7830], [0.3197, 0.2500, 0.2010], [0.4312, 0.7500, 0.0110], [0.4713, 0.2500, 0.6358], [0.5287, 0.7500, 0.3642], [0.5688, 0.2500, 0.9890], [0.6803, 0.7500, 0.7990], [0.6988, 0.7500, 0.2170], [0.8012, 0.2500, 0.7170], [0.8197, 0.2500, 0.2990], [0.9312, 0.7500, 0.4890], [0.9713, 0.2500, 0.8642]], "formation_enthalpy_0k_mev_per_atom": -312}

***

6.
{"formula": "SmCoSn", "functional": "PBE", "state": "relaxed", "cell": [[12.0798, 0.0000, 0.0000], [0.0000, 3.6252, 0.0000], [0.0000, 0.0000, 6.2373]], "species": ["Sm", "Sm", "Sm", "Sm", "Co", "Co", "Co", "Co", "Sn", "Sn", "Sn", "Sn"], "fractional_positions": [[0.1513, 0.0000, 0.0000], [0.1513, 0.5000, 0.5000], [0.8487, 0.0000, 0.0000], [0.8487, 0.5000, 0.5000], [0.0000, 0.0000, 0.3350], [0.0000, 0.5000, 0.8350], [0.5000, 0.0000, 0.0002], [0.5000, 0.5000, 0.5002], [0.3688, 0.0000, 0.3346], [0.3688, 0.5000, 0.8346], [0.6312, 0.0000, 0.3346], [0.6312, 0.5000, 0.8346]], "formation_enthalpy_0k_mev_per_atom": -22}

***

7.
{"formula": "SrSm3Co", "functional": "PBE", "state": "relaxed", "cell": [[5.5023, 0.0000, 0.0000], [0.0000, 5.5023, 0.0000], [0.0000, 0.0000, 5.5023]], "species": ["Sr", "Sm", "Sm", "Sm", "Co"], "fractional_positions": [[0.0000, 0.0000, 0.0000], [0.0000, 0.5000, 0.5000], [0.5000, 0.0000, 0.5000], [0.5000, 0.5000, 0.0000], [0.5000, 0.5000, 0.5000]], "formation_enthalpy_0k_mev_per_atom": 23}

***

8.
{"formula": "SrSmCo", "functional": "PBE", "state": "relaxed", "cell": [[11.4151, -1.9711, 0.0000], [11.4151, 1.9711, 0.0000], [-1.7494, 0.0000, 9.1228]], "species": ["Sr", "Sr", "Sr", "Sr", "Sm", "Sm", "Sm", "Sm", "Co", "Co", "Co", "Co"], "fractional_positions": [[0.0333, 0.0333, 0.2037], [0.3998, 0.3998, 0.3833], [0.6002, 0.6002, 0.6167], [0.9667, 0.9667, 0.7963], [0.1825, 0.1825, 0.9877], [0.1974, 0.1974, 0.3821], [0.8026, 0.8026, 0.6179], [0.8175, 0.8175, 0.0123], [0.2153, 0.2153, 0.6889], [0.2807, 0.2807, 0.2042], [0.7193, 0.7193, 0.7958], [0.7847, 0.7847, 0.3111]], "formation_enthalpy_0k_mev_per_atom": 117}